The following is a DFT calculation (GGA-PBE) of crystalline UReGe2 at its relaxed geometry.

Values from the calculation:
Density of states at the Fermi level in states/eV/f.u.: 6.52
VASP energy in eV/atom: -8.157
Formation energy in eV/atom: 0.086
Energy above the most stable polymorph in this dataset in eV/atom: 0.0000

POSCAR file:
```
UReGe2
1.0
3.161 0.000 0.000
0.000 3.161 0.000
0.000 0.000 7.140
U Re Ge
1 1 2
Direct
0.000 0.000 0.000 U
0.000 0.000 0.500 Re
0.500 0.500 0.298 Ge
0.500 0.500 0.702 Ge
```

The following is a DFT calculation (GGA-PBE) of crystalline Te4Ir at its relaxed geometry.

Values from the calculation:
Density of states at the Fermi level in states/eV/f.u.: 3.02
VASP energy in eV/atom: -3.660
Raw formation energy in eV per atom: 0.625
Energy above the most stable polymorph in this dataset in eV/atom: 0.5865

POSCAR file:
```
Te4Ir
1.0
3.980 0.000 0.000
0.000 3.980 0.000
0.000 0.000 19.312
Te Ir
8 2
Direct
0.000 0.000 0.069 Te
0.000 0.000 0.931 Te
0.000 0.500 0.250 Te
0.000 0.500 0.750 Te
0.500 0.000 0.250 Te
0.500 0.000 0.750 Te
0.500 0.500 0.431 Te
0.500 0.500 0.569 Te
0.000 0.000 0.500 Ir
0.500 0.500 0.000 Ir
```

The following is a DFT calculation (GGA-PBE) of crystalline La2UInN5 at its relaxed geometry.

Values from the calculation:
VASP energy in eV/atom: -8.302
Raw formation energy in eV per atom: -1.024

POSCAR file:
```
La2UInN5
1.0
1.781 -7.197 0.000
1.781 7.197 0.000
0.000 0.000 10.942
La U In N
4 2 2 10
Direct
0.104 0.896 0.500 La
0.130 0.870 0.104 La
0.870 0.130 0.604 La
0.896 0.104 0.000 La
0.217 0.783 0.821 U
0.783 0.217 0.321 U
0.476 0.524 0.277 In
0.524 0.476 0.777 In
0.069 0.931 0.868 N
0.274 0.726 0.445 N
0.295 0.705 0.198 N
0.364 0.636 0.814 N
0.495 0.505 0.585 N
0.505 0.495 0.085 N
0.636 0.364 0.314 N
0.705 0.295 0.698 N
0.726 0.274 0.945 N
0.931 0.069 0.368 N
```

The following is a DFT calculation (GGA-PBE) of crystalline TcAs2Se at its relaxed geometry.

Values from the calculation:
Density of states at the Fermi level in states/eV/f.u.: 4.21
VASP energy in eV/atom: -5.288
Raw formation energy in eV per atom: 0.500
Energy above the most stable polymorph in this dataset in eV/atom: 0.5300

POSCAR file:
```
TcAs2Se
1.0
3.164 0.000 0.000
0.000 4.599 0.000
0.000 0.000 4.690
Tc As Se
1 2 1
Direct
0.000 0.000 0.000 Tc
0.000 0.500 0.500 As
0.500 0.000 0.500 As
0.500 0.500 0.000 Se
```